A geometry-optimized CuB2Pt structure, computed with GGA-PBE.

Cell and atoms, written as CIF:
```
data_CuB2Pt
_chemical_formula_sum 'Cu4 B8 Pt4'
_symmetry_space_group_name_H-M 'F m -3 m'
_symmetry_Int_Tables_number 225
_symmetry_space_group_name_Hall '-F 4 2 3'
_cell_length_a 5.440
_cell_length_b 5.440
_cell_length_c 5.440
_cell_angle_alpha 90.00
_cell_angle_beta 90.00
_cell_angle_gamma 90.00
loop_
_atom_site_label
_atom_site_type_symbol
_atom_site_fract_x
_atom_site_fract_y
_atom_site_fract_z
Cu1 Cu 0.000 0.000 0.000
B1 B 0.250 0.250 0.250
Pt1 Pt 0.000 0.000 0.500
```

Summary:
- V: 10.06 Å³ per atom
- Distance to the lowest polymorph of the same formula: 48 meV/atom
- E_form: 0.597 eV per atom
- Magnetic moment: 0.000 μB/atom

=====

A geometry-optimized Cu2BPt structure, computed with GGA-PBE.

Cell and atoms, written as CIF:
```
data_Cu2BPt
_chemical_formula_sum 'Cu8 B4 Pt4'
_symmetry_space_group_name_H-M 'I -4 2 d'
_symmetry_Int_Tables_number 122
_symmetry_space_group_name_Hall 'I -4 2bw'
_cell_length_a 3.295
_cell_length_b 3.295
_cell_length_c 18.109
_cell_angle_alpha 90.00
_cell_angle_beta 90.00
_cell_angle_gamma 90.00
loop_
_atom_site_label
_atom_site_type_symbol
_atom_site_fract_x
_atom_site_fract_y
_atom_site_fract_z
Cu1 Cu 0.243 0.250 0.125
B1 B 0.000 0.000 0.000
Pt1 Pt 0.000 0.000 0.500
```

Summary:
- V: 12.29 Å³ per atom
- E_form: 0.410 eV per atom
- Magnetic moment: 0.000 μB/atom

=====

A geometry-optimized CuBPt2 structure, computed with GGA-PBE.

Cell and atoms, written as CIF:
```
data_CuBPt2
_chemical_formula_sum 'Cu3 B3 Pt6'
_symmetry_space_group_name_H-M 'R -3 m'
_symmetry_Int_Tables_number 166
_symmetry_space_group_name_Hall '-R 3 2"'
_cell_length_a 3.1450
_cell_length_b 3.1450
_cell_length_c 18.8979
_cell_angle_alpha 90.00
_cell_angle_beta 90.00
_cell_angle_gamma 120.00
loop_
_atom_site_label
_atom_site_type_symbol
_atom_site_fract_x
_atom_site_fract_y
_atom_site_fract_z
Cu1 Cu 0.0000 0.0000 0.0000
B1 B 0.0000 0.0000 0.5000
Pt1 Pt 0.0000 0.0000 0.2293
```

Summary:
- V: 13.49 Å³ per atom
- E_form: -0.074 eV per atom
- Magnetic moment: 0.000 μB/atom

=====

A geometry-optimized CuBPt2 structure, computed with GGA-PBE.

Cell and atoms, written as CIF:
```
data_CuBPt2
_chemical_formula_sum 'Cu1 B1 Pt2'
_symmetry_space_group_name_H-M 'P 4/m m m'
_symmetry_Int_Tables_number 123
_symmetry_space_group_name_Hall '-P 4 2'
_cell_length_a 2.723
_cell_length_b 2.723
_cell_length_c 6.728
_cell_angle_alpha 90.00
_cell_angle_beta 90.00
_cell_angle_gamma 90.00
loop_
_atom_site_label
_atom_site_type_symbol
_atom_site_fract_x
_atom_site_fract_y
_atom_site_fract_z
Cu1 Cu 0.000 0.000 0.000
B1 B 0.000 0.000 0.500
Pt1 Pt 0.500 0.500 0.296
```

Summary:
- V: 12.47 Å³ per atom
- E_form: -0.030 eV per atom
- Magnetic moment: 0.000 μB/atom

=====

A geometry-optimized CuB5Pt11 structure, computed with GGA-PBE.

Cell and atoms, written as CIF:
```
data_CuB5Pt11
_chemical_formula_sum 'Cu2 B10 Pt22'
_symmetry_space_group_name_H-M 'C 1 2/m 1'
_symmetry_Int_Tables_number 12
_symmetry_space_group_name_Hall '-C 2y'
_cell_length_a 8.471
_cell_length_b 10.441
_cell_length_c 5.419
_cell_angle_alpha 90.00
_cell_angle_beta 106.62
_cell_angle_gamma 90.00
loop_
_atom_site_label
_atom_site_type_symbol
_atom_site_fract_x
_atom_site_fract_y
_atom_site_fract_z
Cu1 Cu 0.000 0.000 0.000
B1 B 0.000 0.500 0.000
B2 B 0.165 0.170 0.715
Pt1 Pt 0.000 0.000 0.500
Pt2 Pt 0.095 0.228 0.327
Pt3 Pt 0.153 0.500 0.392
Pt4 Pt 0.186 0.371 0.921
```

Summary:
- V: 13.51 Å³ per atom
- E_form: -0.113 eV per atom
- Magnetic moment: 0.000 μB/atom

=====

A geometry-optimized CuBPt structure, computed with GGA-PBE.

Cell and atoms, written as CIF:
```
data_CuBPt
_chemical_formula_sum 'Cu1 B1 Pt1'
_symmetry_space_group_name_H-M 'P 3 m 1'
_symmetry_Int_Tables_number 156
_symmetry_space_group_name_Hall 'P 3 -2"'
_cell_length_a 3.4432
_cell_length_b 3.4432
_cell_length_c 3.6483
_cell_angle_alpha 90.00
_cell_angle_beta 90.00
_cell_angle_gamma 120.00
loop_
_atom_site_label
_atom_site_type_symbol
_atom_site_fract_x
_atom_site_fract_y
_atom_site_fract_z
Cu1 Cu 0.0000 0.0000 0.0000
B1 B 0.6667 0.3333 0.3355
Pt1 Pt 0.3333 0.6667 0.4965
```

Summary:
- V: 12.49 Å³ per atom
- E_form: 0.010 eV per atom
- Magnetic moment: 0.000 μB/atom

=====

A geometry-optimized Cu2BPt3 structure, computed with GGA-PBE.

Cell and atoms, written as CIF:
```
data_Cu2BPt3
_chemical_formula_sum 'Cu8 B4 Pt12'
_symmetry_space_group_name_H-M 'C 1 2/m 1'
_symmetry_Int_Tables_number 12
_symmetry_space_group_name_Hall '-C 2y'
_cell_length_a 4.356
_cell_length_b 11.843
_cell_length_c 6.236
_cell_angle_alpha 90.00
_cell_angle_beta 95.95
_cell_angle_gamma 90.00
loop_
_atom_site_label
_atom_site_type_symbol
_atom_site_fract_x
_atom_site_fract_y
_atom_site_fract_z
Cu1 Cu 0.000 0.000 0.000
Cu2 Cu 0.000 0.000 0.500
Cu3 Cu 0.000 0.337 0.000
B1 B 0.000 0.345 0.500
Pt1 Pt 0.004 0.500 0.275
Pt2 Pt 0.089 0.179 0.287
```

Summary:
- V: 13.33 Å³ per atom
- E_form: -0.060 eV per atom
- Magnetic moment: 0.000 μB/atom

=====

A geometry-optimized CuB2Pt2 structure, computed with GGA-PBE.

Cell and atoms, written as CIF:
```
data_CuB2Pt2
_chemical_formula_sum 'Cu1 B2 Pt2'
_symmetry_space_group_name_H-M 'P 4/m m m'
_symmetry_Int_Tables_number 123
_symmetry_space_group_name_Hall '-P 4 2'
_cell_length_a 2.833
_cell_length_b 2.833
_cell_length_c 7.139
_cell_angle_alpha 90.00
_cell_angle_beta 90.00
_cell_angle_gamma 90.00
loop_
_atom_site_label
_atom_site_type_symbol
_atom_site_fract_x
_atom_site_fract_y
_atom_site_fract_z
Cu1 Cu 0.000 0.000 0.000
B1 B 0.000 0.500 0.500
Pt1 Pt 0.500 0.500 0.256
```

Summary:
- V: 11.46 Å³ per atom
- Distance to the lowest polymorph of the same formula: 273 meV/atom
- E_form: 0.131 eV per atom
- Magnetic moment: 0.000 μB/atom

=====

A geometry-optimized CuB3Pt structure, computed with GGA-PBE.

Cell and atoms, written as CIF:
```
data_CuB3Pt
_chemical_formula_sum 'Cu1 B3 Pt1'
_symmetry_space_group_name_H-M 'P m -3 m'
_symmetry_Int_Tables_number 221
_symmetry_space_group_name_Hall '-P 4 2 3'
_cell_length_a 3.831
_cell_length_b 3.831
_cell_length_c 3.831
_cell_angle_alpha 90.00
_cell_angle_beta 90.00
_cell_angle_gamma 90.00
loop_
_atom_site_label
_atom_site_type_symbol
_atom_site_fract_x
_atom_site_fract_y
_atom_site_fract_z
Cu1 Cu 0.000 0.000 0.000
B1 B 0.000 0.000 0.500
Pt1 Pt 0.500 0.500 0.500
```

Summary:
- V: 11.25 Å³ per atom
- Distance to the lowest polymorph of the same formula: 215 meV/atom
- E_form: 1.493 eV per atom
- Magnetic moment: 0.000 μB/atom

=====

A geometry-optimized CuB2Pt4 structure, computed with GGA-PBE.

Cell and atoms, written as CIF:
```
data_CuB2Pt4
_chemical_formula_sum 'Cu8 B16 Pt32'
_symmetry_space_group_name_H-M 'F d d 2'
_symmetry_Int_Tables_number 43
_symmetry_space_group_name_Hall 'F 2 -2d'
_cell_length_a 9.008
_cell_length_b 13.167
_cell_length_c 6.629
_cell_angle_alpha 90.00
_cell_angle_beta 90.00
_cell_angle_gamma 90.00
loop_
_atom_site_label
_atom_site_type_symbol
_atom_site_fract_x
_atom_site_fract_y
_atom_site_fract_z
Cu1 Cu 0.000 0.000 0.000
B1 B 0.109 0.179 0.617
Pt1 Pt 0.083 0.400 0.175
Pt2 Pt 0.100 0.088 0.334
```

Summary:
- V: 14.04 Å³ per atom
- E_form: -0.114 eV per atom
- Magnetic moment: 0.000 μB/atom

=====

A geometry-optimized CuB2Pt2 structure, computed with GGA-PBE.

Cell and atoms, written as CIF:
```
data_CuB2Pt2
_chemical_formula_sum 'Cu2 B4 Pt4'
_symmetry_space_group_name_H-M 'I 4/m m m'
_symmetry_Int_Tables_number 139
_symmetry_space_group_name_Hall '-I 4 2'
_cell_length_a 3.167
_cell_length_b 3.167
_cell_length_c 11.736
_cell_angle_alpha 90.00
_cell_angle_beta 90.00
_cell_angle_gamma 90.00
loop_
_atom_site_label
_atom_site_type_symbol
_atom_site_fract_x
_atom_site_fract_y
_atom_site_fract_z
Cu1 Cu 0.000 0.000 0.000
B1 B 0.000 0.500 0.250
Pt1 Pt 0.000 0.000 0.374
```

Summary:
- V: 11.77 Å³ per atom
- Distance to the lowest polymorph of the same formula: 0 meV/atom
- E_form: -0.141 eV per atom
- Magnetic moment: 0.000 μB/atom